Version a
First-principles (GGA-PBEsol) data for a relaxed structure of MnTcTe2, as listed in Alexandria via LeMat-Bulk.

```
data_MnTcTe2
_cell_length_a 6.606
_cell_length_b 6.606
_cell_length_c 6.606
_cell_angle_alpha 90.00
_cell_angle_beta 90.00
_cell_angle_gamma 90.00
_symmetry_space_group_name_H-M 'F m -3 m'
_symmetry_Int_Tables_number 225
_symmetry_space_group_name_Hall '-F 4 2 3'
loop_
_atom_site_label
_atom_site_type_symbol
_atom_site_fract_x
_atom_site_fract_y
_atom_site_fract_z
Mn1 Mn 0.000 0.000 0.000
Tc1 Tc 0.000 0.000 0.500
Te1 Te 0.250 0.250 0.250
```

Summary:
V: 288 Å³ per cell
calculated density: 9.4 g cm⁻³

---

Version b
First-principles (GGA-PBEsol) data for a relaxed structure of MnTcTe2, as listed in Alexandria via LeMat-Bulk.

```
data_MnTcTe2
_cell_length_a 3.2449
_cell_length_b 3.2449
_cell_length_c 25.6123
_cell_angle_alpha 90.00
_cell_angle_beta 90.00
_cell_angle_gamma 120.00
_symmetry_space_group_name_H-M 'R -3 m'
_symmetry_Int_Tables_number 166
_symmetry_space_group_name_Hall '-R 3 2"'
loop_
_atom_site_label
_atom_site_type_symbol
_atom_site_fract_x
_atom_site_fract_y
_atom_site_fract_z
Mn1 Mn 0.0000 0.0000 0.0000
Tc1 Tc 0.0000 0.0000 0.5000
Te1 Te 0.0000 0.0000 0.4018
```

Summary:
V: 234 Å³ per cell
calculated density: 8.7 g cm⁻³

---

Least stable of them? version b.

---

Version a
First-principles (GGA-PBEsol) data for a relaxed structure of MnTlTc2, as listed in Alexandria via LeMat-Bulk.

```
data_MnTlTc2
_cell_length_a 6.282
_cell_length_b 6.282
_cell_length_c 6.282
_cell_angle_alpha 90.00
_cell_angle_beta 90.00
_cell_angle_gamma 90.00
_symmetry_space_group_name_H-M 'F -4 3 m'
_symmetry_Int_Tables_number 216
_symmetry_space_group_name_Hall 'F -4 2 3'
loop_
_atom_site_label
_atom_site_type_symbol
_atom_site_fract_x
_atom_site_fract_y
_atom_site_fract_z
Mn1 Mn 0.000 0.000 0.000
Tl1 Tl 0.250 0.250 0.750
Tc1 Tc 0.000 0.000 0.500
Tc2 Tc 0.250 0.250 0.250
```

Summary:
V: 248 Å³ per cell
calculated density: 12.2 g cm⁻³

---

Version b
First-principles (GGA-PBEsol) data for a relaxed structure of MnTlTc2, as listed in Alexandria via LeMat-Bulk.

```
data_MnTlTc2
_cell_length_a 2.917
_cell_length_b 2.917
_cell_length_c 7.093
_cell_angle_alpha 90.00
_cell_angle_beta 90.00
_cell_angle_gamma 90.00
_symmetry_space_group_name_H-M 'P 4/m m m'
_symmetry_Int_Tables_number 123
_symmetry_space_group_name_Hall '-P 4 2'
loop_
_atom_site_label
_atom_site_type_symbol
_atom_site_fract_x
_atom_site_fract_y
_atom_site_fract_z
Mn1 Mn 0.000 0.000 0.000
Tl1 Tl 0.000 0.000 0.500
Tc1 Tc 0.500 0.500 0.201
```

Summary:
V: 60 Å³ per cell
calculated density: 12.5 g cm⁻³

---

Least stable of them? version a.

---

Version a
First-principles (GGA-PBEsol) data for a relaxed structure of Mn2TcW, as listed in Alexandria via LeMat-Bulk.

```
data_Mn2TcW
_cell_length_a 5.184
_cell_length_b 8.076
_cell_length_c 2.612
_cell_angle_alpha 90.00
_cell_angle_beta 106.75
_cell_angle_gamma 90.00
_symmetry_space_group_name_H-M 'C 1 2/m 1'
_symmetry_Int_Tables_number 12
_symmetry_space_group_name_Hall '-C 2y'
loop_
_atom_site_label
_atom_site_type_symbol
_atom_site_fract_x
_atom_site_fract_y
_atom_site_fract_z
Mn1 Mn 0.250 0.250 0.000
Tc1 Tc 0.000 0.000 0.500
W1 W 0.000 0.500 0.500
```

Summary:
V: 105 Å³ per cell
calculated density: 12.4 g cm⁻³

---

Version b
First-principles (GGA-PBEsol) data for a relaxed structure of Mn2TcW, as listed in Alexandria via LeMat-Bulk.

```
data_Mn2TcW
_cell_length_a 5.922
_cell_length_b 5.922
_cell_length_c 5.922
_cell_angle_alpha 90.00
_cell_angle_beta 90.00
_cell_angle_gamma 90.00
_symmetry_space_group_name_H-M 'F m -3 m'
_symmetry_Int_Tables_number 225
_symmetry_space_group_name_Hall '-F 4 2 3'
loop_
_atom_site_label
_atom_site_type_symbol
_atom_site_fract_x
_atom_site_fract_y
_atom_site_fract_z
Mn1 Mn 0.250 0.250 0.250
Tc1 Tc 0.000 0.000 0.000
W1 W 0.000 0.000 0.500
```

Summary:
V: 208 Å³ per cell
calculated density: 12.5 g cm⁻³

---

Least stable of them? version b.